[1]
! HfZrTlC (PBE-GGA, relaxed); values from VASP
! total magnetization: 0.002 μB/f.u.
! excess energy over the best structure of this formula in the dataset: 0 meV/atom
! calculated volume: 18.39 A^3/atom
&SYSTEM
  ibrav = 0, nat = 8, ntyp = 4
/
ATOMIC_SPECIES
Hf 178.49 Hf.upf
Zr 91.22 Zr.upf
Tl 204.38 Tl.upf
C 12.01 C.upf
ATOMIC_POSITIONS crystal
Hf 0.333 0.667 0.000
Hf 0.667 0.333 0.500
Zr 0.333 0.667 0.337
Zr 0.667 0.333 0.837
Tl 0.333 0.667 0.668
Tl 0.667 0.333 0.168
C 0.000 0.000 0.422
C 0.000 0.000 0.922
CELL_PARAMETERS angstrom
3.364 0.000 0.000
-1.682 2.913 0.000
0.000 0.000 15.015

=====

[2]
! HfZr3Tl2C2 (PBE-GGA, relaxed); values from VASP
! total magnetization: 0.001 μB/f.u.
! calculated volume: 18.59 A^3/atom
! calculated total energy: -7.9734 eV/atom
&SYSTEM
  ibrav = 0, nat = 8, ntyp = 4
/
ATOMIC_SPECIES
Hf 178.49 Hf.upf
Zr 91.22 Zr.upf
Tl 204.38 Tl.upf
C 12.01 C.upf
ATOMIC_POSITIONS crystal
Hf 0.000 0.000 0.000
Zr 0.000 0.000 0.337
Zr 0.333 0.667 0.501
Zr 0.333 0.667 0.838
Tl 0.000 0.000 0.670
Tl 0.333 0.667 0.168
C 0.667 0.333 0.419
C 0.667 0.333 0.922
CELL_PARAMETERS angstrom
3.375 0.000 0.000
-1.688 2.923 0.000
0.000 0.000 15.078

=====

[3]
! HfZrTlC (PBE-GGA, relaxed); values from VASP
! total magnetization: 0.002 μB/f.u.
! excess energy over the best structure of this formula in the dataset: 1 meV/atom
! calculated volume: 18.38 A^3/atom
&SYSTEM
  ibrav = 0, nat = 8, ntyp = 4
/
ATOMIC_SPECIES
Hf 178.49 Hf.upf
Zr 91.22 Zr.upf
Tl 204.38 Tl.upf
C 12.01 C.upf
ATOMIC_POSITIONS crystal
Hf 0.000 0.000 0.168
Hf 0.000 0.000 0.832
Zr 0.333 0.667 0.330
Zr 0.333 0.667 0.670
Tl 0.000 0.000 0.500
Tl 0.333 0.667 0.000
C 0.667 0.333 0.246
C 0.667 0.333 0.754
CELL_PARAMETERS angstrom
3.365 0.000 0.000
-1.683 2.914 0.000
0.000 0.000 14.989

=====

[4]
! Hf4Zr2Tl3C3 (PBE-GGA, relaxed); values from VASP
! total magnetization: 0.001 μB/f.u.
! calculated volume: 18.26 A^3/atom
! calculated total energy: -8.2690 eV/atom
&SYSTEM
  ibrav = 0, nat = 24, ntyp = 4
/
ATOMIC_SPECIES
Hf 178.49 Hf.upf
Zr 91.22 Zr.upf
Tl 204.38 Tl.upf
C 12.01 C.upf
ATOMIC_POSITIONS crystal
Hf 0.025 0.195 0.080
Hf 0.141 0.306 0.420
Hf 0.195 0.025 0.580
Hf 0.306 0.141 0.920
Hf 0.694 0.859 0.080
Hf 0.805 0.975 0.420
Hf 0.859 0.694 0.580
Hf 0.975 0.805 0.920
Zr 0.363 0.528 0.083
Zr 0.472 0.637 0.417
Zr 0.528 0.363 0.583
Zr 0.637 0.472 0.917
Tl 0.078 0.922 0.250
Tl 0.246 0.416 0.750
Tl 0.416 0.246 0.250
Tl 0.584 0.754 0.750
Tl 0.754 0.584 0.250
Tl 0.922 0.078 0.750
C 0.000 0.500 0.000
C 0.161 0.670 0.500
C 0.330 0.839 0.000
C 0.500 0.000 0.500
C 0.670 0.161 0.000
C 0.839 0.330 0.500
CELL_PARAMETERS angstrom
5.039 -2.909 0.000
5.039 2.909 0.000
-3.361 0.000 14.945